Entry 1:
Sm4Ge3Br: relaxed, PBE.

Cell lengths 4.2709, 7.3489, 7.3489 Å; angles 70.64, 89.99, 89.99 degrees
Element x y z (fractional)
Sm 0.0000 0.7677 0.7324
Sm 0.5000 0.7545 0.2543
Sm 0.4999 0.2458 0.7456
Sm 0.0000 0.2326 0.2675
Ge 0.0000 0.5001 0.5000
Ge 0.5000 0.0001 0.5000
Ge 0.0000 0.0001 0.0000
Br 0.5000 0.5001 0.0000

Computed properties:
Mass density ... 6.86 g/cm3
Calculated total energy ... -5.271 eV/atom
D(E_F) ... 5.03 states/eV per cell

***

Entry 2:
LaAgP: relaxed, PBE.

Cell lengths 4.3339, 4.3339, 4.1950 Å; angles 90.00, 90.00, 120.00 degrees
Element x y z (fractional)
Ag 0.0000 0.0000 0.8335
P 0.6667 0.3333 0.8330
La 0.3333 0.6667 0.3335

Computed properties:
Mass density ... 6.76 g/cm3
Calculated total energy ... -5.197 eV/atom
D(E_F) ... 2.71 states/eV per cell

***

Entry 3:
La4Pr2Tl: relaxed, PBE.

Cell lengths 12.6472, 6.6188, 6.6553 Å; angles 119.19, 90.00, 90.00 degrees
Element x y z (fractional)
Pr 0.0492 0.6391 0.3117
Pr 0.4508 0.1391 0.3117
Pr 0.5492 0.8609 0.6883
Pr 0.9508 0.3609 0.6883
La 0.7519 0.3130 0.1133
La 0.6763 0.3256 0.6052
La 0.1763 0.1744 0.3948
La 0.2481 0.6870 0.8867
La 0.8237 0.8256 0.6052
La 0.3237 0.6744 0.3948
La 0.2519 0.1870 0.8867
La 0.7481 0.8130 0.1133
Tl 0.0000 0.0000 0.0000
Tl 0.5000 0.5000 0.0000

Computed properties:
Mass density ... 7.11 g/cm3
Polymorph energy (0 for the lowest one) ... 0.000 eV/atom
D(E_F) ... 21.23 states/eV per cell

***

Entry 4:
Ge2PtAu2: relaxed, PBE.

Cell lengths 7.2982, 7.2982, 3.4820 Å; angles 90.00, 90.00, 90.00 degrees
Element x y z (fractional)
Ge 0.6704 0.8296 0.5000
Ge 0.1704 0.6704 0.5000
Ge 0.3296 0.1704 0.5000
Ge 0.8296 0.3296 0.5000
Pt 0.0000 0.0000 0.0000
Pt 0.5000 0.5000 0.0000
Au 0.6381 0.1381 0.0000
Au 0.8619 0.6381 0.0000
Au 0.1381 0.3619 0.0000
Au 0.3619 0.8619 0.0000

Computed properties:
Mass density ... 13.15 g/cm3
Polymorph energy (0 for the lowest one) ... 0.147 eV/atom
D(E_F) ... 3.60 states/eV per cell

***

Entry 5:
PmMg2Zn2Pd: relaxed, PBE.

Cell lengths 5.0683, 5.0683, 6.5127 Å; angles 112.90, 112.90, 90.00 degrees
Element x y z (fractional)
Pm 0.5000 0.5000 0.0000
Zn 0.7762 0.7762 0.5525
Zn 0.2238 0.2238 0.4475
Mg 0.7500 0.2500 0.5000
Mg 0.2500 0.7500 0.5000
Pd 0.0000 0.0000 0.0000

Computed properties:
Mass density ... 5.12 g/cm3
Calculated total energy ... -2.583 eV/atom
D(E_F) ... 1.95 states/eV per cell

***

Entry 6:
MnOsC3: relaxed, PBE.

Cell lengths 3.9753, 3.9753, 3.9753 Å; angles 90.00, 90.00, 90.00 degrees
Each line ends with the local moment (μB).
Element x y z (fractional)
C 0.0000 0.0000 0.5000  0.21
C 0.0000 0.5000 0.0000  0.23
C 0.5000 0.0000 0.0000  0.11
Mn 0.5000 0.5000 0.5000  -4.12
Os 0.0000 0.0000 0.0000  -0.28

Computed properties:
Mass density ... 7.43 g/cm3
Polymorph energy (0 for the lowest one) ... 0.000 eV/atom
D(E_F) ... 3.24 states/eV per cell

***

Entry 7:
Nd4Sn2Te: relaxed, PBE.

Cell lengths 6.7094, 6.5252, 10.2059 Å; angles 90.00, 92.59, 90.00 degrees
Element x y z (fractional)
Te 0.9822 0.7500 0.1605
Te 0.0178 0.2500 0.8395
Sn 0.5577 0.2500 0.9995
Sn 0.7050 0.7500 0.5558
Sn 0.2950 0.2500 0.4442
Sn 0.4423 0.7500 0.0005
Nd 0.1460 0.7500 0.4464
Nd 0.9198 0.7500 0.8532
Nd 0.0802 0.2500 0.1468
Nd 0.6032 0.9937 0.2713
Nd 0.3968 0.4937 0.7287
Nd 0.3968 0.0063 0.7287
Nd 0.6032 0.5063 0.2713
Nd 0.8540 0.2500 0.5536

Computed properties:
Mass density ... 7.01 g/cm3
Calculated total energy ... -5.028 eV/atom
D(E_F) ... 13.16 states/eV per cell

***

Entry 8:
LaPmSn6: relaxed, PBE.

Cell lengths 4.7998, 4.7998, 9.5010 Å; angles 90.00, 90.00, 90.00 degrees
Element x y z (fractional)
Sn 0.5000 0.5000 0.0000
Sn 0.5000 0.0000 0.2529
Sn 0.0000 0.5000 0.7471
Sn 0.5000 0.0000 0.7471
Sn 0.0000 0.5000 0.2529
Sn 0.5000 0.5000 0.5000
Pm 0.0000 0.0000 0.5000
La 0.0000 0.0000 0.0000

Computed properties:
Mass density ... 7.56 g/cm3
Calculated total energy ... -4.746 eV/atom
D(E_F) ... 5.74 states/eV per cell

***

Entry 9:
Rb2SrMoI6: relaxed, PBE.

Cell lengths 8.5275, 8.5275, 8.5271 Å; angles 60.00, 60.00, 90.00 degrees
Each line ends with the local moment (μB).
Element x y z (fractional)
I 0.2338 0.2338 0.0000  0.01
I 0.7662 0.7662 0.0000  0.01
I 0.7662 0.2338 0.0000  0.01
I 0.2337 0.2337 0.5325  0.01
I 0.7663 0.7663 0.4675  0.01
I 0.2338 0.7662 0.0000  0.01
Sr 0.5000 0.5000 0.0000  -0.01
Rb 0.7500 0.2500 0.5000  0.00
Rb 0.2500 0.7500 0.5000  0.00
Mo 0.0000 0.0000 0.0000  1.64

Computed properties:
Mass density ... 4.23 g/cm3
Calculated total energy ... -3.303 eV/atom
D(E_F) ... 5.69 states/eV per cell

***

Entry 10:
ThBiRh4: relaxed, PBE.

Cell lengths 5.4078, 5.4078, 5.4078 Å; angles 60.00, 60.00, 60.00 degrees
Element x y z (fractional)
Rh 0.6257 0.1229 0.6257
Rh 0.6257 0.6257 0.6257
Rh 0.1229 0.6257 0.6257
Rh 0.6257 0.6257 0.1229
Bi 0.0000 0.0000 0.0000
Th 0.2500 0.2500 0.2500

Computed properties:
Mass density ... 12.66 g/cm3
Calculated total energy ... -7.217 eV/atom
D(E_F) ... 5.95 states/eV per cell

***

Entry 11:
Ba2NaSrF: relaxed, PBE.

Cell lengths 5.6157, 5.6157, 6.8447 Å; angles 90.00, 90.00, 90.00 degrees
Element x y z (fractional)
F 0.0000 0.0000 0.0000
Ba 0.5000 0.0000 0.0000
Ba 0.0000 0.5000 0.0000
Na 0.0000 0.0000 0.5000
Sr 0.5000 0.5000 0.5000

Computed properties:
Mass density ... 3.11 g/cm3
Polymorph energy (0 for the lowest one) ... 0.022 eV/atom
D(E_F) ... 4.29 states/eV per cell

***

Entry 12:
HfZnPd: relaxed, PBE.

Cell lengths 4.5144, 5.6800, 7.8657 Å; angles 90.00, 90.00, 90.00 degrees
Element x y z (fractional)
Zn 0.0000 0.7500 0.1743
Zn 0.5000 0.2500 0.6743
Zn 0.0000 0.2500 0.8257
Zn 0.5000 0.7500 0.3257
Pd 0.0000 0.2500 0.1510
Pd 0.5000 0.7500 0.6510
Pd 0.5000 0.2500 0.3490
Pd 0.0000 0.7500 0.8490
Hf 0.0000 0.0000 0.5000
Hf 0.5000 0.0000 0.0000
Hf 0.5000 0.5000 0.0000
Hf 0.0000 0.5000 0.5000

Computed properties:
Mass density ... 11.54 g/cm3
Calculated total energy ... -5.953 eV/atom
D(E_F) ... 7.26 states/eV per cell